(1)
This record from Alexandria describes crystalline Cs2SiPt2 at its relaxed geometry. The functional is GGA-PBE.

- Uncorrected formation energy: 0.02 eV per formula unit
- SG: P4/mbm, No. 127
- Calculated volume: 264 Å³/cell
- ΔE to the lowest computed polymorph: 215 meV/atom
- Total moment: 0.000 μB/atom
- Density of states at the Fermi level: 0.68 states/eV/atom

Unit cell a=6.5713 b=6.5713 c=6.1034 alpha=90.00 beta=90.00 gamma=90.00
Sites, in units of the cell vectors:
Si: 0.5000 0.5000 0.0000
Pt: 0.1502 0.6502 0.0000
Cs: 0.3193 0.8193 0.5000
Pt: 0.3498 0.1502 0.0000
Cs: 0.1807 0.3193 0.5000
Pt: 0.8498 0.3498 0.0000
Si: 0.0000 0.0000 0.0000
Cs: 0.8193 0.6807 0.5000
Cs: 0.6807 0.1807 0.5000
Pt: 0.6502 0.8498 0.0000

***

(2)
This record from Alexandria describes crystalline Li2CdAg at its relaxed geometry. The functional is GGA-PBE.

- SG: I-4m2, No. 119
- Calculated volume: 70 Å³/cell
- Formation energy from the elements: -0.234 eV per atom
- Total moment: 0.000 μB/atom
- Density of states at the Fermi level: 0.42 states/eV/atom

Unit cell a=5.0442 b=5.0442 c=5.0442 alpha=131.73 beta=131.73 gamma=70.66
Sites, in units of the cell vectors:
Ag: 0.5000 0.5000 0.0000
Li: 0.0000 0.0000 0.0000
Cd: 0.7500 0.2500 0.5000
Li: 0.2500 0.7500 0.5000

***

(3)
This record from Alexandria describes crystalline VGaI2 at its relaxed geometry. The functional is GGA-PBE.

- Uncorrected formation energy: 1.19 eV per formula unit
- SG: Fm-3m, No. 225
- Calculated volume: 110 Å³/cell
- ΔE to the lowest computed polymorph: 191 meV/atom
- Total moment: 0.989 μB/atom
- Density of states at the Fermi level: 1.32 states/eV/atom

Unit cell a=5.3714 b=5.3714 c=5.3714 alpha=60.00 beta=60.00 gamma=60.00
Site moments in Bohr magnetons follow the coordinates.
Sites, in units of the cell vectors:
Ga: 0.5000 0.5000 0.5000  0.08
I: 0.2500 0.2500 0.2500  -0.03
V: 0.0000 0.0000 0.0000  3.06
I: 0.7500 0.7500 0.7500  -0.03

***

(4)
This record from Alexandria describes crystalline Hf2Ti4Ga at its relaxed geometry. The functional is GGA-PBE.

- SG: I4/mmm, No. 139
- Calculated volume: 157 Å³/cell
- Formation energy from the elements: 0.748 eV per atom
- Total moment: 0.270 μB/atom
- Density of states at the Fermi level: 0.99 states/eV/atom

Unit cell a=4.7045 b=4.7045 c=7.8176 alpha=72.49 beta=72.49 gamma=90.00
Site moments in Bohr magnetons follow the coordinates.
Sites, in units of the cell vectors:
Ti: 0.8237 0.8237 0.3527  1.19
Ga: 0.0000 0.0000 0.0000  -0.05
Ti: 0.5000 0.0000 0.0000  -0.55
Hf: 0.3853 0.3853 0.2294  0.00
Ti: 0.1763 0.1763 0.6473  1.19
Ti: 0.0000 0.5000 0.0000  -0.55
Hf: 0.6147 0.6147 0.7706  0.00

***

(5)
This record from Alexandria describes crystalline HfRe2AgSn at its relaxed geometry. The functional is GGA-PBE.

- SG: P4/mmm, No. 123
- Calculated volume: 122 Å³/cell
- Formation energy from the elements: 2.187 eV per atom
- ΔE to the lowest computed polymorph: 154 meV/atom
- Total moment: 0.282 μB/atom
- Density of states at the Fermi level: 1.14 states/eV/atom

Unit cell a=4.8522 b=5.1627 c=4.8522 alpha=90.00 beta=90.00 gamma=90.00
Site moments in Bohr magnetons follow the coordinates.
Sites, in units of the cell vectors:
Ag: 0.5000 0.5000 0.5000  0.01
Re: 0.0000 0.0000 0.5000  0.68
Sn: 0.0000 0.0000 0.0000  -0.01
Hf: 0.0000 0.5000 0.0000  -0.10
Re: 0.5000 0.0000 0.0000  0.70

***

(6)
This record from Alexandria describes crystalline NdPd6 at its relaxed geometry. The functional is GGA-PBE.

- SG: Pm-3m, No. 221
- Calculated volume: 217 Å³/cell
- Formation energy from the elements: 0.983 eV per atom
- ΔE to the lowest computed polymorph: 1397 meV/atom
- Total moment: 0.000 μB/atom
- Density of states at the Fermi level: 1.32 states/eV/atom

Unit cell a=6.0120 b=6.0120 c=6.0120 alpha=90.00 beta=90.00 gamma=90.00
Sites, in units of the cell vectors:
Pd: 0.5000 0.8042 0.5000
Pd: 0.5000 0.1958 0.5000
Pd: 0.8042 0.5000 0.5000
Pd: 0.5000 0.5000 0.8042
Nd: 0.0000 0.0000 0.0000
Pd: 0.1958 0.5000 0.5000
Pd: 0.5000 0.5000 0.1958

***

(7)
This record from Alexandria describes crystalline NaCd2InGa at its relaxed geometry. The functional is GGA-PBE.

- SG: P4/mmm, No. 123
- Calculated volume: 155 Å³/cell
- Formation energy from the elements: 0.512 eV per atom
- Total moment: 0.000 μB/atom
- Density of states at the Fermi level: 0.84 states/eV/atom

Unit cell a=5.4029 b=5.3169 c=5.4029 alpha=90.00 beta=90.00 gamma=90.00
Sites, in units of the cell vectors:
Ga: 0.0000 0.5000 0.0000
Na: 0.0000 0.0000 0.0000
In: 0.5000 0.5000 0.5000
Cd: 0.5000 0.0000 0.0000
Cd: 0.0000 0.0000 0.5000

***

(8)
This record from Alexandria describes crystalline Ho2NiOs3 at its relaxed geometry. The functional is GGA-PBE.

- SG: R-3m, No. 166
- Calculated volume: 104 Å³/cell
- Formation energy from the elements: -0.375 eV per atom
- Total moment: 0.000 μB/atom
- Density of states at the Fermi level: 0.58 states/eV/atom

Unit cell a=5.2515 b=5.2515 c=5.3167 alpha=89.96 beta=119.58 gamma=120.07
Sites, in units of the cell vectors:
Os: 0.0000 0.0000 0.5000
Ho: 0.7539 0.3769 0.1308
Ni: 0.0000 0.0000 0.0000
Os: 0.5000 0.0000 0.5000
Ho: 0.2461 0.6231 0.8692
Os: 0.5000 0.5000 0.5000

***

Question: Number 8 is which compound?
Answer: Ho2NiOs3

***

Question: Among the records above, which one has the lowest density of states at the Fermi level?
Answer: Li2CdAg

***

Question: Which value of calculated volume does entry 2 give?
Answer: 70 Å³/cell